[1]
VASP calculation (GGA-PBE) on a relaxed structure of TiPt2Rh2.

Lattice parameters (Å, degrees): 4.3173 4.3173 9.9136 90.00 90.00 120.00
Space group P6_3/mmc (No. 194)
Asymmetric unit:
Ti 0.0000 0.0000 0.2500 (multiplicity 2)
Pt 0.0000 0.0000 0.0000 (multiplicity 2)
Pt 0.3333 0.6667 0.2500 (multiplicity 2)
Rh 0.3333 0.6667 0.6076 (multiplicity 4)

[2]
VASP calculation (GGA-PBE) on a relaxed structure of Ti4PtRh.

Lattice parameters (Å, degrees): 4.290 4.290 6.075 90.00 90.00 90.00
Space group P4/mmm (No. 123)
Asymmetric unit:
Ti 0.000 0.500 0.246 (multiplicity 4)
Pt 0.000 0.000 0.500 (multiplicity 1)
Rh 0.500 0.500 0.000 (multiplicity 1)

[3]
VASP calculation (GGA-PBE) on a relaxed structure of Ti2PtRh4.

Distance to the lowest polymorph of the same formula: 6.72 eV/f.u.

Lattice parameters (Å, degrees): 4.780 4.780 12.306 90.00 90.00 90.00
Space group I4/mmm (No. 139)
Asymmetric unit:
Ti 0.000 0.000 0.116 (multiplicity 4)
Pt 0.000 0.000 0.500 (multiplicity 2)
Rh 0.000 0.000 0.284 (multiplicity 4)
Rh 0.000 0.500 0.000 (multiplicity 4)

The records above yield E_tot values of -7.160 -7.848 -6.745 eV/atom, respectively.
The records above yield energy of formation from the pure elements values of -224 -353 575 meV/atom, respectively.